[1]
Material: MnFeIr2
Method: DFT, PBEsol
State: optimized geometry

Output
Uncorrected energy: -39.00 eV for the cell shown
Size of the total moment: 0.164 μB per atom
Energy relative to the elements: -0.158 eV/atom
ΔE to the lowest computed polymorph: 0.000 eV/atom

a = 3.759 Å, b = 3.759 Å, c = 3.562 Å
α = 90.00°, β = 90.00°, γ = 90.00°
Atoms (fractional coordinates):
Mn1 0.000 0.000 0.000
Fe1 0.500 0.500 0.000
Ir1 0.000 0.500 0.500
Ir2 0.500 0.000 0.500



[2]
Material: LiCa2Cu2
Method: DFT, PBEsol
State: optimized geometry

Output
Uncorrected energy: -30.18 eV for the cell shown
Size of the total moment: 0.000 μB per atom
Energy relative to the elements: -0.038 eV/atom

a = 7.488 Å, b = 7.488 Å, c = 3.963 Å
α = 90.00°, β = 90.00°, γ = 90.00°
Atoms (fractional coordinates):
Li1 0.000 0.000 0.000
Li2 0.500 0.500 0.000
Ca1 0.177 0.323 0.500
Ca2 0.323 0.823 0.500
Ca3 0.677 0.177 0.500
Ca4 0.823 0.677 0.500
Cu1 0.114 0.614 0.000
Cu2 0.386 0.114 0.000
Cu3 0.614 0.886 0.000
Cu4 0.886 0.386 0.000



[3]
Material: NiP2ICl
Method: DFT, PBEsol
State: optimized geometry

Output
Uncorrected energy: -19.84 eV for the cell shown
Size of the total moment: 0.001 μB per atom
Uncorrected formation energy: 0.334 eV/atom

a = 4.517 Å, b = 4.517 Å, c = 4.502 Å
α = 90.00°, β = 90.00°, γ = 90.00°
Atoms (fractional coordinates):
Ni1 0.000 0.000 0.000
P1 0.000 0.500 0.000
P2 0.500 0.000 0.000
I1 0.500 0.500 0.500
Cl1 0.000 0.000 0.500



[4]
Material: LiCu2Ni
Method: DFT, PBEsol
State: optimized geometry

Output
Uncorrected energy: -16.63 eV for the cell shown
Size of the total moment: 0.001 μB per atom
Energy relative to the elements: 0.042 eV/atom
ΔE to the lowest computed polymorph: 0.061 eV/atom

a = 2.472 Å, b = 2.472 Å, c = 7.428 Å
α = 90.00°, β = 90.00°, γ = 90.00°
Atoms (fractional coordinates):
Li1 0.000 0.000 0.000
Cu1 0.000 0.000 0.486
Cu2 0.500 0.500 0.730
Ni1 0.500 0.500 0.251



[5]
Material: Mg5Cu3
Method: DFT, PBEsol
State: optimized geometry

Output
Uncorrected energy: -21.94 eV for the cell shown
Size of the total moment: 0.000 μB per atom
Energy relative to the elements: -0.044 eV/atom
ΔE to the lowest computed polymorph: 0.000 eV/atom

a = 3.181 Å, b = 3.181 Å, c = 13.111 Å
α = 90.00°, β = 90.00°, γ = 90.00°
Atoms (fractional coordinates):
Mg1 0.000 0.000 0.000
Mg2 0.000 0.000 0.226
Mg3 0.000 0.000 0.774
Mg4 0.500 0.500 0.388
Mg5 0.500 0.500 0.612
Cu1 0.000 0.000 0.500
Cu2 0.500 0.500 0.113
Cu3 0.500 0.500 0.887



[6]
Material: NbCoB2
Method: DFT, PBEsol
State: optimized geometry

Output
Uncorrected energy: -141.37 eV for the cell shown
Size of the total moment: 0.000 μB per atom
Energy relative to the elements: -0.688 eV/atom
ΔE to the lowest computed polymorph: 0.000 eV/atom

a = 5.904 Å, b = 3.146 Å, c = 8.119 Å
α = 90.00°, β = 90.00°, γ = 90.00°
Atoms (fractional coordinates):
Nb1 0.137 0.250 0.132
Nb2 0.363 0.750 0.632
Nb3 0.637 0.250 0.368
Nb4 0.863 0.750 0.868
Co1 0.009 0.750 0.388
Co2 0.491 0.250 0.888
Co3 0.509 0.750 0.112
Co4 0.991 0.250 0.612
B1 0.165 0.250 0.828
B2 0.231 0.250 0.423
B3 0.269 0.750 0.923
B4 0.335 0.750 0.328
B5 0.665 0.250 0.672
B6 0.731 0.250 0.077
B7 0.769 0.750 0.577
B8 0.835 0.750 0.172



[7]
Material: TaBrCl2
Method: DFT, PBEsol
State: optimized geometry

Output
Uncorrected energy: -21.54 eV for the cell shown
Size of the total moment: 0.000 μB per atom
ΔE to the lowest computed polymorph: 0.000 eV/atom
Uncorrected formation energy: -0.776 eV/atom

a = 6.141 Å, b = 3.260 Å, c = 6.214 Å
α = 90.00°, β = 119.45°, γ = 90.00°
Atoms (fractional coordinates):
Ta1 0.000 0.000 0.000
Br1 0.302 0.500 0.317
Cl1 0.627 0.000 0.995
Cl2 0.997 0.500 0.713



[8]
Material: Ag2MoRh
Method: DFT, PBEsol
State: optimized geometry

Output
Uncorrected energy: -25.10 eV for the cell shown
Size of the total moment: 0.001 μB per atom
Energy relative to the elements: 0.356 eV/atom

a = 9.563 Å, b = 9.563 Å, c = 9.563 Å
α = 16.45°, β = 16.45°, γ = 16.45°
Atoms (fractional coordinates):
Ag1 0.248 0.248 0.248
Ag2 0.752 0.752 0.752
Mo1 0.000 0.000 0.000
Rh1 0.500 0.500 0.500



[9]
Material: YAlBr
Method: DFT, PBEsol
State: optimized geometry

Output
Uncorrected energy: -14.04 eV for the cell shown
Size of the total moment: 0.000 μB per atom
Uncorrected formation energy: -0.419 eV/atom

a = 4.861 Å, b = 4.861 Å, c = 3.587 Å
α = 90.00°, β = 90.00°, γ = 120.00°
Atoms (fractional coordinates):
Y1 0.000 0.000 0.000
Al1 0.667 0.333 0.500
Br1 0.333 0.667 0.000



[10]
Material: SrCrW
Method: DFT, PBEsol
State: optimized geometry

Output
Uncorrected energy: -20.87 eV for the cell shown
Size of the total moment: 0.088 μB per atom
Energy relative to the elements: 1.674 eV/atom
ΔE to the lowest computed polymorph: 0.808 eV/atom

a = 4.477 Å, b = 4.477 Å, c = 4.477 Å
α = 60.00°, β = 60.00°, γ = 60.00°
Atoms (fractional coordinates):
Sr1 0.000 0.000 0.000
Cr1 0.750 0.750 0.750
W1 0.500 0.500 0.500



[11]
Material: MgTcSb2I
Method: DFT, PBEsol
State: optimized geometry

Output
Uncorrected energy: -21.90 eV for the cell shown
Size of the total moment: 0.000 μB per atom
Uncorrected formation energy: 0.393 eV/atom

a = 5.014 Å, b = 5.014 Å, c = 5.819 Å
α = 90.00°, β = 90.00°, γ = 90.00°
Atoms (fractional coordinates):
Mg1 0.000 0.000 0.000
Tc1 0.500 0.500 0.500
Sb1 0.000 0.500 0.500
Sb2 0.500 0.000 0.500
I1 0.500 0.500 0.000



[12]
Material: Na3HSe
Method: DFT, PBEsol
State: optimized geometry

Output
Uncorrected energy: -14.76 eV for the cell shown
Size of the total moment: 0.000 μB per atom

a = 4.489 Å, b = 4.489 Å, c = 4.489 Å
α = 90.00°, β = 90.00°, γ = 90.00°
Atoms (fractional coordinates):
Na1 0.000 0.000 0.500
Na2 0.000 0.500 0.000
Na3 0.500 0.000 0.000
H1 0.000 0.000 0.000
Se1 0.500 0.500 0.500